one.
DFT (GGA-PBE) results for a relaxed CuBiS2Cl crystal.

Properties
Mass density (g/cm3): 4.23
Spin magnetization (Bohr magnetons per cell): 0.1
Space-group type: No. 123

Cell lengths 5.226, 5.226, 5.346 Å; angles 90.00, 90.00, 90.00 degrees
Last column: magnetic moment on the atom in μB.
Positions (direct):
S 0.000 0.500 0.000  -0.03
S 0.500 0.000 0.000  -0.03
Bi 0.000 0.000 0.000  0.00
Cu 0.500 0.500 0.500  -0.07
Cl 0.000 0.000 0.500  0.00


two.
DFT (GGA-PBE) results for a relaxed CuBiS2Cl crystal.

Properties
Mass density (g/cm3): 4.43
Spin magnetization (Bohr magnetons per cell): 0.0
Space-group type: No. 11

Cell lengths 4.578, 7.536, 9.389 Å; angles 120.60, 90.00, 90.00 degrees
Positions (direct):
Cu 0.250 0.579 0.417
Cu 0.750 0.421 0.583
Bi 0.250 0.694 0.927
Bi 0.750 0.306 0.073
S 0.750 0.555 0.416
S 0.250 0.445 0.584
S 0.750 0.447 0.833
S 0.250 0.553 0.167
Cl 0.250 0.016 0.852
Cl 0.750 0.984 0.148


three.
DFT (GGA-PBE) results for a relaxed CuBiS2Cl crystal.

Properties
Mass density (g/cm3): 6.19
Spin magnetization (Bohr magnetons per cell): 0.0
Space-group type: No. 123

Cell lengths 4.713, 4.713, 4.493 Å; angles 90.00, 90.00, 90.00 degrees
Positions (direct):
S 0.000 0.500 0.000
S 0.500 0.000 0.000
Bi 0.500 0.500 0.500
Cu 0.000 0.000 0.000
Cl 0.000 0.000 0.500


Least stable = one


one.
DFT (GGA-PBE) results for a relaxed ErBiCl6 crystal.

Properties
Mass density (g/cm3): 4.06
Spin magnetization (Bohr magnetons per cell): 0.0
Space-group type: No. 148

Cell lengths 6.738, 6.738, 7.256 Å; angles 62.33, 62.33, 60.01 degrees
Positions (direct):
Er 0.000 0.000 0.000
Bi 0.500 0.500 0.500
Cl 0.088 0.400 0.755
Cl 0.757 0.088 0.755
Cl 0.600 0.243 0.245
Cl 0.243 0.912 0.245
Cl 0.912 0.600 0.245
Cl 0.400 0.757 0.755


two.
DFT (GGA-PBE) results for a relaxed ErBiCl6 crystal.

Properties
Mass density (g/cm3): 3.57
Spin magnetization (Bohr magnetons per cell): 0.0
Space-group type: No. 12

Cell lengths 6.674, 6.674, 7.222 Å; angles 62.48, 82.54, 73.68 degrees
Positions (direct):
Er 0.500 0.500 0.000
Bi 0.000 0.000 0.000
Cl 0.742 0.399 0.719
Cl 0.742 0.118 0.281
Cl 0.258 0.882 0.719
Cl 0.258 0.601 0.281
Cl 0.745 0.745 0.000
Cl 0.255 0.255 0.000


Least stable = one


one.
DFT (GGA-PBE) results for a relaxed BiClF3 crystal.

Properties
Mass density (g/cm3): 4.09
Spin magnetization (Bohr magnetons per cell): 0.2
Space-group type: No. 14

Cell lengths 7.389, 8.312, 8.914 Å; angles 116.68, 90.00, 90.00 degrees
Positions (direct):
Bi 0.750 0.543 0.489
Bi 0.250 0.457 0.511
Bi 0.250 0.957 0.011
Bi 0.750 0.043 0.989
Cl 0.634 0.494 0.993
Cl 0.366 0.506 0.007
Cl 0.134 0.006 0.507
Cl 0.866 0.994 0.493
F 0.758 0.282 0.252
F 0.242 0.718 0.748
F 0.258 0.218 0.248
F 0.742 0.782 0.752
F 0.441 0.594 0.422
F 0.559 0.406 0.578
F 0.941 0.906 0.078
F 0.059 0.094 0.922
F 0.058 0.574 0.404
F 0.942 0.426 0.596
F 0.558 0.926 0.096
F 0.442 0.074 0.904


two.
DFT (GGA-PBE) results for a relaxed BiClF3 crystal.

Properties
Mass density (g/cm3): 5.58
Spin magnetization (Bohr magnetons per cell): 0.0
Space-group type: No. 31

Cell lengths 5.100, 5.079, 6.921 Å; angles 90.00, 90.00, 90.01 degrees
Positions (direct):
Bi 0.180 0.730 0.701
Bi 0.680 0.623 0.201
Cl 0.455 0.283 0.701
Cl 0.955 0.070 0.201
F 0.379 0.337 0.201
F 0.432 0.804 0.973
F 0.932 0.549 0.473
F 0.879 0.015 0.701
F 0.932 0.549 0.929
F 0.432 0.804 0.429


three.
DFT (GGA-PBE) results for a relaxed BiClF3 crystal.

Properties
Mass density (g/cm3): 5.65
Spin magnetization (Bohr magnetons per cell): 0.0
Space-group type: No. 221

Cell lengths 4.457, 4.457, 4.457 Å; angles 90.00, 90.00, 90.00 degrees
Positions (direct):
F 0.000 0.500 0.000
F 0.000 0.000 0.500
F 0.500 0.000 0.000
Bi 0.500 0.500 0.500
Cl 0.000 0.000 0.000


Least stable = three


one.
DFT (GGA-PBE) results for a relaxed Bi2Cl2F crystal.

Properties
Mass density (g/cm3): 6.79
Spin magnetization (Bohr magnetons per cell): 0.0
Space-group type: No. 127

Cell lengths 7.342, 7.342, 4.610 Å; angles 90.00, 90.00, 90.00 degrees
Positions (direct):
F 0.000 0.000 0.000
F 0.500 0.500 0.000
Bi 0.228 0.728 0.500
Bi 0.728 0.772 0.500
Bi 0.772 0.272 0.500
Bi 0.272 0.228 0.500
Cl 0.357 0.857 0.000
Cl 0.857 0.643 0.000
Cl 0.643 0.143 0.000
Cl 0.143 0.357 0.000


two.
DFT (GGA-PBE) results for a relaxed Bi2Cl2F crystal.

Properties
Mass density (g/cm3): 5.94
Spin magnetization (Bohr magnetons per cell): 0.2
Space-group type: No. 139

Cell lengths 4.513, 4.513, 7.663 Å; angles 72.87, 72.87, 90.00 degrees
Last column: magnetic moment on the atom in μB.
Positions (direct):
F 0.000 0.000 0.000  -0.16
Bi 0.750 0.250 0.500  -0.01
Bi 0.250 0.750 0.500  -0.01
Cl 0.396 0.396 0.208  -0.01
Cl 0.604 0.604 0.792  -0.01


Least stable = two


one.
DFT (GGA-PBE) results for a relaxed BiP2ClF crystal.

Properties
Mass density (g/cm3): 5.56
Spin magnetization (Bohr magnetons per cell): 0.0
Space-group type: No. 123

Cell lengths 4.247, 4.247, 5.389 Å; angles 90.00, 90.00, 90.00 degrees
Positions (direct):
P 0.000 0.500 0.000
P 0.500 0.000 0.000
F 0.000 0.000 0.000
Bi 0.500 0.500 0.500
Cl 0.000 0.000 0.500


two.
DFT (GGA-PBE) results for a relaxed BiP2ClF crystal.

Properties
Mass density (g/cm3): 3.33
Spin magnetization (Bohr magnetons per cell): 3.7
Space-group type: No. 123

Cell lengths 5.522, 5.522, 5.314 Å; angles 90.00, 90.00, 90.00 degrees
Last column: magnetic moment on the atom in μB.
Positions (direct):
P 0.000 0.500 0.000  0.71
P 0.500 0.000 0.000  0.71
F 0.500 0.500 0.500  0.37
Bi 0.000 0.000 0.000  -0.02
Cl 0.000 0.000 0.500  0.08


Least stable = two


one.
DFT (GGA-PBE) results for a relaxed Rb2BiClF6 crystal.

Properties
Mass density (g/cm3): 3.75
Spin magnetization (Bohr magnetons per cell): 0.0
Space-group type: No. 139

Cell lengths 6.945, 6.945, 6.907 Å; angles 59.82, 59.82, 90.00 degrees
Positions (direct):
F 0.219 0.219 0.562
F 0.781 0.781 0.438
F 0.217 0.217 0.000
F 0.783 0.783 0.000
F 0.783 0.217 0.000
F 0.217 0.783 0.000
Bi 0.000 0.000 0.000
Rb 0.750 0.250 0.500
Rb 0.250 0.750 0.500
Cl 0.500 0.500 0.000


two.
DFT (GGA-PBE) results for a relaxed Rb2BiClF6 crystal.

Properties
Mass density (g/cm3): 3.60
Spin magnetization (Bohr magnetons per cell): 0.0
Space-group type: No. 1

Cell lengths 7.604, 7.530, 7.357 Å; angles 51.83, 48.24, 59.86 degrees
Last column: magnetic moment on the atom in μB.
Positions (direct):
Rb 0.528 0.633 0.245  0.00
Rb 0.089 0.008 0.873  0.00
Bi 0.307 0.319 0.054  -0.05
Cl 0.885 0.776 0.558  0.19
F 0.335 0.337 0.312  -0.04
F 0.119 0.032 0.359  0.01
F 0.983 0.554 0.134  -0.03
F 0.468 0.613 0.727  -0.02
F 0.639 0.094 0.971  -0.03
F 0.307 0.294 0.781  -0.03


Least stable = one


one.
DFT (GGA-PBE) results for a relaxed FeBi2Cl crystal.

Properties
Mass density (g/cm3): 9.01
Spin magnetization (Bohr magnetons per cell): 2.8
Space-group type: No. 225

Cell lengths 5.100, 5.100, 5.100 Å; angles 60.00, 60.00, 60.00 degrees
Last column: magnetic moment on the atom in μB.
Positions (direct):
Cl 0.000 0.000 0.000  0.00
Bi 0.250 0.250 0.250  -0.11
Bi 0.750 0.750 0.750  -0.11
Fe 0.500 0.500 0.500  2.91


two.
DFT (GGA-PBE) results for a relaxed FeBi2Cl crystal.

Properties
Mass density (g/cm3): 6.59
Spin magnetization (Bohr magnetons per cell): 2.0
Space-group type: No. 122

Cell lengths 6.323, 6.323, 7.825 Å; angles 66.17, 66.17, 90.00 degrees
Last column: magnetic moment on the atom in μB.
Positions (direct):
Cl 0.500 0.500 0.000  -0.05
Cl 0.250 0.750 0.500  -0.05
Bi 0.714 0.125 0.250  -0.16
Bi 0.036 0.625 0.250  -0.16
Bi 0.375 0.286 0.750  -0.17
Bi 0.875 0.964 0.750  -0.16
Fe 0.000 0.000 0.000  1.42
Fe 0.750 0.250 0.500  1.42


Least stable = one


one.
DFT (GGA-PBE) results for a relaxed Fe3BiCl crystal.

Properties
Mass density (g/cm3): 5.13
Spin magnetization (Bohr magnetons per cell): 10.0
Space-group type: No. 221

Cell lengths 5.109, 5.109, 5.109 Å; angles 90.00, 90.00, 90.00 degrees
Last column: magnetic moment on the atom in μB.
Positions (direct):
Cl 0.500 0.500 0.500  0.16
Bi 0.000 0.000 0.000  -0.02
Fe 0.000 0.500 0.000  3.12
Fe 0.000 0.000 0.500  3.04
Fe 0.500 0.000 0.000  3.19


two.
DFT (GGA-PBE) results for a relaxed Fe3BiCl crystal.

Properties
Mass density (g/cm3): 8.17
Spin magnetization (Bohr magnetons per cell): 7.4
Space-group type: No. 221

Cell lengths 4.375, 4.375, 4.375 Å; angles 90.00, 90.00, 90.00 degrees
Last column: magnetic moment on the atom in μB.
Positions (direct):
Cl 0.000 0.000 0.000  0.08
Bi 0.500 0.500 0.500  -0.01
Fe 0.000 0.500 0.000  2.48
Fe 0.000 0.000 0.500  2.21
Fe 0.500 0.000 0.000  2.63


Least stable = one


one.
DFT (GGA-PBE) results for a relaxed FeBiCl2 crystal.

Properties
Mass density (g/cm3): 6.32
Spin magnetization (Bohr magnetons per cell): 3.0
Space-group type: No. 225

Cell lengths 4.998, 4.998, 4.998 Å; angles 60.00, 60.00, 60.00 degrees
Last column: magnetic moment on the atom in μB.
Positions (direct):
Cl 0.250 0.250 0.250  0.02
Cl 0.750 0.750 0.750  0.02
Bi 0.500 0.500 0.500  -0.22
Fe 0.000 0.000 0.000  3.12


two.
DFT (GGA-PBE) results for a relaxed FeBiCl2 crystal.

Properties
Mass density (g/cm3): 5.48
Spin magnetization (Bohr magnetons per cell): 0.0
Space-group type: No. 122

Cell lengths 6.546, 6.546, 6.634 Å; angles 60.44, 60.44, 90.00 degrees
Positions (direct):
Cl 0.479 0.125 0.250
Cl 0.271 0.625 0.250
Cl 0.375 0.521 0.750
Cl 0.875 0.729 0.750
Bi 0.000 0.000 0.000
Bi 0.750 0.250 0.500
Fe 0.500 0.500 0.000
Fe 0.250 0.750 0.500


three.
DFT (GGA-PBE) results for a relaxed FeBiCl2 crystal.

Properties
Mass density (g/cm3): 5.66
Spin magnetization (Bohr magnetons per cell): 3.1
Space-group type: No. 166

Cell lengths 9.710, 9.710, 9.710 Å; angles 20.53, 20.53, 20.53 degrees
Last column: magnetic moment on the atom in μB.
Positions (direct):
Cl 0.924 0.924 0.924  0.06
Cl 0.076 0.076 0.076  0.06
Bi 0.500 0.500 0.500  -0.10
Fe 0.000 0.000 0.000  3.10


Least stable = one


one.
DFT (GGA-PBE) results for a relaxed FeBiP2Cl crystal.

Properties
Mass density (g/cm3): 6.20
Spin magnetization (Bohr magnetons per cell): 2.0
Space-group type: No. 123

Cell lengths 4.452, 4.452, 4.894 Å; angles 90.00, 90.00, 90.00 degrees
Last column: magnetic moment on the atom in μB.
Positions (direct):
P 0.000 0.500 0.000  0.03
P 0.500 0.000 0.000  0.03
Cl 0.000 0.000 0.500  0.04
Bi 0.500 0.500 0.500  0.13
Fe 0.000 0.000 0.000  1.57


two.
DFT (GGA-PBE) results for a relaxed FeBiP2Cl crystal.

Properties
Mass density (g/cm3): 4.11
Spin magnetization (Bohr magnetons per cell): 4.1
Space-group type: No. 123

Cell lengths 5.287, 5.287, 5.241 Å; angles 90.00, 90.00, 90.00 degrees
Last column: magnetic moment on the atom in μB.
Positions (direct):
P 0.000 0.500 0.000  0.08
P 0.500 0.000 0.000  0.08
Cl 0.000 0.000 0.500  0.03
Bi 0.000 0.000 0.000  -0.01
Fe 0.500 0.500 0.500  3.43


Least stable = two


one.
DFT (GGA-PBE) results for a relaxed FeBiS2Cl crystal.

Properties
Mass density (g/cm3): 4.15
Spin magnetization (Bohr magnetons per cell): 3.6
Space-group type: No. 123

Cell lengths 5.276, 5.276, 5.233 Å; angles 90.00, 90.00, 90.00 degrees
Last column: magnetic moment on the atom in μB.
Positions (direct):
S 0.000 0.500 0.000  -0.01
S 0.500 0.000 0.000  -0.01
Cl 0.000 0.000 0.500  0.01
Bi 0.000 0.000 0.000  -0.01
Fe 0.500 0.500 0.500  3.35


two.
DFT (GGA-PBE) results for a relaxed FeBiS2Cl crystal.

Properties
Mass density (g/cm3): 6.43
Spin magnetization (Bohr magnetons per cell): 0.0
Space-group type: No. 123

Cell lengths 4.555, 4.555, 4.538 Å; angles 90.00, 90.00, 90.00 degrees
Positions (direct):
S 0.000 0.500 0.000
S 0.500 0.000 0.000
Cl 0.000 0.000 0.500
Bi 0.500 0.500 0.500
Fe 0.000 0.000 0.000


Least stable = one